Entry A
BaSrCa2S (PBE, relaxed); calculated volume = 41.55 A^3/atom
1.0
5.641 0.000 0.000
0.000 5.641 0.000
0.000 0.000 6.530
S Sr Ca Ba
1 1 2 1
Direct
0.000 0.000 0.000
0.500 0.500 0.500
0.000 0.500 0.000
0.500 0.000 0.000
0.000 0.000 0.500

Entry B
BaSrCa2S (PBE, relaxed); calculated volume = 41.29 A^3/atom
1.0
5.801 0.000 0.000
0.000 5.801 0.000
0.000 0.000 6.135
S Sr Ca Ba
1 1 2 1
Direct
0.000 0.000 0.000
0.000 0.000 0.500
0.000 0.500 0.000
0.500 0.000 0.000
0.500 0.500 0.500

Computed relative energies in units of kJ/mol of atoms: entry A 0.0; entry B 4.4

Entry A
BaCaSb2 (PBE, relaxed); calculated volume = 36.78 A^3/atom
1.0
-0.932 4.645 -6.228
-6.140 1.155 -4.712
2.845 -0.324 7.283
Sb Ca Ba
2 1 1
Direct
0.934 0.934 0.000
0.752 0.252 0.500
0.279 0.779 0.500
0.535 0.535 0.000

Entry B
BaCaSb2 (PBE, relaxed); calculated volume = 33.30 A^3/atom
1.0
4.275 0.006 0.000
-0.004 4.275 0.000
0.000 0.000 7.289
Sb Ca Ba
2 1 1
Direct
0.000 0.000 0.960
0.000 0.000 0.540
0.500 0.500 0.750
0.500 0.500 0.250

Entry C
BaCaSb2 (PBE, relaxed); calculated volume = 37.47 A^3/atom
1.0
-0.553 -4.677 8.145
3.167 -6.144 6.383
3.126 -2.354 8.556
Sb Ca Ba
2 1 1
Direct
0.007 0.007 0.007
0.493 0.493 0.493
0.750 0.750 0.750
0.250 0.250 0.250

Entry D
BaCaSb2 (PBE, relaxed); calculated volume = 33.93 A^3/atom
1.0
0.811 -2.219 5.262
-4.192 0.333 3.948
-2.846 -4.758 1.594
Sb Ca Ba
2 1 1
Direct
0.250 0.250 0.250
0.750 0.750 0.750
0.000 0.000 0.000
0.500 0.500 0.500

Computed relative energies in units of kJ/mol of atoms: entry A 12.2; entry B 0.0; entry C 16.3; entry D 9.3

Entry A
BaCa3Sb (PBE, relaxed); calculated volume = 46.28 A^3/atom
1.0
-3.013 -5.073 -1.697
5.239 -2.404 -2.114
1.082 -2.486 5.509
Sb Ca Ba
1 3 1
Direct
0.000 0.000 0.000
0.000 0.500 0.000
0.000 0.000 0.500
0.500 0.000 0.000
0.500 0.500 0.500

Entry B
BaCa3Sb (PBE, relaxed); calculated volume = 39.81 A^3/atom
1.0
-3.650 -2.230 -3.974
-0.660 -4.780 3.288
-4.509 2.505 2.736
Sb Ca Ba
1 3 1
Direct
0.500 0.500 0.500
0.000 0.500 0.000
0.000 0.000 0.500
0.500 0.000 0.000
0.000 0.000 0.000

Computed relative energies in units of kJ/mol of atoms: entry A 0.0; entry B 117.2

Entry A
Ba5CaSb4 (PBE, relaxed); calculated volume = 41.67 A^3/atom
1.0
0.207 5.212 0.555
-2.080 1.774 8.914
8.434 1.935 3.473
Ba Ca Sb
5 1 4
Direct
0.580 0.358 0.982
0.920 0.018 0.642
0.750 0.500 0.500
0.580 0.982 0.358
0.920 0.642 0.018
0.250 0.000 0.000
0.250 0.271 0.729
0.016 0.234 0.234
0.484 0.766 0.766
0.250 0.729 0.271

Entry B
Ba5CaSb4 (PBE, relaxed); calculated volume = 45.91 A^3/atom
1.0
5.248 0.000 0.000
0.000 7.818 -3.999
-2.624 -5.018 13.756
Ba Ca Sb
5 1 4
Direct
0.848 0.735 0.696
0.829 0.183 0.657
0.171 0.817 0.343
0.500 0.500 0.000
0.152 0.265 0.304
0.500 0.000 0.000
0.306 0.876 0.613
0.977 0.725 0.954
0.694 0.124 0.387
0.023 0.275 0.046

Computed relative energies in units of kJ/mol of atoms: entry A 2.6; entry B 0.0